A relaxed structure of LaAlPdAu. Source: Alexandria via LeMat-Bulk, functional PBE.

SG: R3m

Cell: 4.3951 4.3951 5.9759 Å, 68.42 68.42 60.00°
Fractional positions:
La1 0.8184 0.8184 0.5447
Al1 0.6202 0.6202 0.1393
Pd1 0.2661 0.2661 0.2018
Au1 0.0212 0.0212 0.9365

A relaxed structure of LaAl2Pd2Au. Source: Alexandria via LeMat-Bulk, functional PBE.

SG: P4/mmm

Cell: 4.7484 4.7484 5.8009 Å, 90.00 90.00 90.00°
Fractional positions:
La1 0.0000 0.0000 0.5000
Al1 0.5000 0.0000 0.0000
Al2 0.0000 0.5000 0.0000
Pd1 0.5000 0.5000 0.7480
Pd2 0.5000 0.5000 0.2520
Au1 0.0000 0.0000 0.0000

A relaxed structure of La2Al3Pd12Au. Source: Alexandria via LeMat-Bulk, functional PBE.

SG: R-3m

Cell: 6.9419 6.9419 6.9419 Å, 83.85 83.85 83.85°
Fractional positions:
La1 0.6443 0.6443 0.6443
La2 0.3557 0.3557 0.3557
Al1 0.5000 0.0000 0.0000
Al2 0.0000 0.5000 0.0000
Al3 0.0000 0.0000 0.5000
Pd1 0.3812 0.3812 0.9126
Pd2 0.8112 0.8112 0.3134
Pd3 0.3134 0.8112 0.8112
Pd4 0.9126 0.3812 0.3812
Pd5 0.8112 0.3134 0.8112
Pd6 0.3812 0.9126 0.3812
Pd7 0.6188 0.6188 0.0874
Pd8 0.1888 0.1888 0.6866
Pd9 0.6866 0.1888 0.1888
Pd10 0.0874 0.6188 0.6188
Pd11 0.1888 0.6866 0.1888
Pd12 0.6188 0.0874 0.6188
Au1 0.0000 0.0000 0.0000

A relaxed structure of La2Al3PdAu12. Source: Alexandria via LeMat-Bulk, functional PBE.

SG: R-3m

Cell: 8.1707 8.1707 8.1707 Å, 64.15 64.15 64.15°
Fractional positions:
La1 0.6154 0.6154 0.6154
La2 0.3846 0.3846 0.3846
Al1 0.5000 0.0000 0.0000
Al2 0.0000 0.5000 0.0000
Al3 0.0000 0.0000 0.5000
Pd1 0.0000 0.0000 0.0000
Au1 0.3587 0.3587 0.8849
Au2 0.8678 0.8678 0.3775
Au3 0.3775 0.8678 0.8678
Au4 0.8849 0.3587 0.3587
Au5 0.8678 0.3775 0.8678
Au6 0.3587 0.8849 0.3587
Au7 0.6413 0.6413 0.1151
Au8 0.1322 0.1322 0.6225
Au9 0.6225 0.1322 0.1322
Au10 0.1151 0.6413 0.6413
Au11 0.1322 0.6225 0.1322
Au12 0.6413 0.1151 0.6413

Table of energy (eV/atom), in record order: -4.99 -4.76 -5.30 -3.83